1.
This record from Alexandria via LeMat-Bulk describes a geometry-optimized NdCu9Pd2 structure. The functional is PBE-GGA.

a = 4.9909 Å, b = 4.9909 Å, c = 8.4147 Å
α = 72.75°, β = 72.75°, γ = 60.00°
Closest atoms and distances in Å follow each position.
Element x y z (fractional)
1 Nd 0.0000 0.0000 0.0000  6 Cu 2.88
2 Pd 0.8543 0.8543 0.4370  12 Cu 2.78-2.92, 3 Pd 3.05
3 Pd 0.1457 0.1457 0.5630  12 Cu 2.78-2.92, 3 Pd 3.05
4 Cu 0.9190 0.4102 0.2605  7 Cu 2.39-2.54
5 Cu 0.4102 0.4102 0.2605  7 Cu 2.39-2.54
6 Cu 0.5898 0.0810 0.7395  7 Cu 2.39-2.54
7 Cu 0.5898 0.5898 0.7395  7 Cu 2.39-2.54
8 Cu 0.4102 0.9190 0.2605  7 Cu 2.39-2.54
9 Cu 0.6658 0.6658 0.0025  6 Cu 2.51-2.52
10 Cu 0.0810 0.5898 0.7395  7 Cu 2.39-2.54
11 Cu 0.3342 0.3342 0.9975  6 Cu 2.51-2.52
12 Cu 0.5000 0.5000 0.5000  6 Cu 2.39

Output
As for the space group: R-3m. The theoretical density comes out at 9.0 g cm⁻³. The value obtained for the volume is 170.5 Å³/cell.

---

2.
This record from Alexandria via LeMat-Bulk describes a geometry-optimized Nd2Cu5Pd structure. The functional is PBE-GGA.

a = 4.1715 Å, b = 8.1090 Å, c = 8.9437 Å
α = 90.00°, β = 90.00°, γ = 104.90°
Closest atoms and distances in Å follow each position.
Element x y z (fractional)
1 Cu 0.3952 0.7904 0.2500  6 Cu 2.53-2.68, 1 Pd 2.58
2 Cu 0.6596 0.3192 0.4839  4 Cu 2.41-2.67, 1 Pd 2.61
3 Cu 0.6596 0.3192 0.0161  4 Cu 2.41-2.67, 1 Pd 2.61
4 Cu 0.8206 0.6413 0.3853  6 Cu 2.41-2.68
5 Cu 0.1794 0.3587 0.8853  6 Cu 2.41-2.68
6 Cu 0.1794 0.3587 0.6147  6 Cu 2.41-2.68
7 Cu 0.3404 0.6808 0.9839  4 Cu 2.41-2.67, 1 Pd 2.61
8 Cu 0.8206 0.6413 0.1147  6 Cu 2.41-2.68
9 Cu 0.6048 0.2096 0.7500  6 Cu 2.53-2.68, 1 Pd 2.58
10 Cu 0.3404 0.6808 0.5161  4 Cu 2.41-2.67, 1 Pd 2.61
11 Nd 0.0000 0.0000 0.5000  6 Cu 2.99-3.26, 4 Pd 3.20
12 Nd 0.7969 0.5938 0.7500  13 Cu 3.01-3.28, 2 Pd 3.07
13 Nd 0.2031 0.4062 0.2500  13 Cu 3.01-3.28, 2 Pd 3.07
14 Nd 0.0000 0.0000 0.0000  6 Cu 2.99-3.26, 4 Pd 3.20
15 Pd 0.4404 0.8808 0.7500  3 Cu 2.58-2.61
16 Pd 0.5596 0.1192 0.2500  3 Cu 2.58-2.61

Output
As for the space group: Cmcm. The theoretical density comes out at 8.1 g cm⁻³. The value obtained for the volume is 292.4 Å³/cell.

---

3.
This record from Alexandria via LeMat-Bulk describes a geometry-optimized Nd2CuPd2 structure. The functional is PBE-GGA.

a = 4.2239 Å, b = 5.7915 Å, c = 10.0421 Å
α = 87.77°, β = 77.86°, γ = 68.61°
Closest atoms and distances in Å follow each position.
Element x y z (fractional)
1 Nd 0.3244 0.6948 0.6564  3 Cu 3.01-3.25, 7 Pd 3.04-3.30
2 Nd 0.6756 0.3052 0.3436  3 Cu 3.01-3.25, 7 Pd 3.04-3.30
3 Nd 0.9242 0.2635 0.8881  6 Pd 3.02-3.18, 2 Cu 3.15
4 Nd 0.0758 0.7365 0.1119  6 Pd 3.02-3.18, 2 Cu 3.15
5 Cu 0.6203 0.0940 0.6655  3 Pd 2.54-2.67
6 Cu 0.3797 0.9060 0.3345  3 Pd 2.54-2.67
7 Pd 0.6451 0.8230 0.8867  1 Cu 2.67, 1 Pd 2.87
8 Pd 0.0792 0.2762 0.5654  2 Cu 2.54, 1 Pd 2.78
9 Pd 0.3549 0.1770 0.1133  1 Cu 2.67, 1 Pd 2.87
10 Pd 0.9208 0.7238 0.4346  2 Cu 2.54, 1 Pd 2.78

Output
As for the space group: C2/m. The theoretical density comes out at 8.4 g cm⁻³. The value obtained for the volume is 223.4 Å³/cell.

---

4.
This record from Alexandria via LeMat-Bulk describes a geometry-optimized NdCu3Pd2 structure. The functional is PBE-GGA.

a = 5.2192 Å, b = 5.2192 Å, c = 5.2192 Å
α = 123.31°, β = 116.36°, γ = 90.39°
Closest atoms and distances in Å follow each position.
Element x y z (fractional)
1 Cu 0.6151 0.8653 0.2503  3 Cu 2.48-2.74, 4 Pd 2.59-2.63
2 Cu 0.6151 0.3648 0.7497  3 Cu 2.48-2.74, 4 Pd 2.59-2.63
3 Cu 0.2826 0.7826 0.5000  2 Cu 2.74, 4 Pd 2.89
4 Pd 0.1200 0.3670 0.7531  6 Cu 2.59-2.89, 2 Pd 2.72-2.79
5 Pd 0.6139 0.3670 0.2469  6 Cu 2.59-2.89, 2 Pd 2.72-2.79
6 Nd 0.0033 0.0033 0.0000  6 Pd 3.00-3.01, 10 Cu 3.11-3.22

Output
As for the space group: Imm2. The theoretical density comes out at 9.1 g cm⁻³. The value obtained for the volume is 100.3 Å³/cell.

---

5.
This record from Alexandria via LeMat-Bulk describes a geometry-optimized NdCu4Pd6 structure. The functional is PBE-GGA.

a = 6.4792 Å, b = 6.4792 Å, c = 6.4792 Å
α = 87.02°, β = 121.74°, γ = 121.74°
Closest atoms and distances in Å follow each position.
Element x y z (fractional)
1 Cu 0.0000 0.2694 0.5626  6 Pd 2.42-2.67, 3 Cu 2.43-2.62
2 Cu 0.0000 0.5626 0.2694  6 Pd 2.42-2.67, 3 Cu 2.43-2.62
3 Cu 0.7068 0.4374 0.4374  6 Pd 2.42-2.67, 3 Cu 2.43-2.62
4 Cu 0.2932 0.7306 0.7306  6 Pd 2.42-2.67, 3 Cu 2.43-2.62
5 Pd 0.4408 0.5289 0.5289  4 Cu 2.42-2.67
6 Pd 0.5000 0.5000 0.0000  4 Cu 2.54
7 Pd 0.5592 0.0881 0.0881  4 Cu 2.42-2.67
8 Pd 0.0000 0.4711 0.9119  4 Cu 2.42-2.67
9 Pd 0.0000 0.9119 0.4711  4 Cu 2.42-2.67
10 Pd 0.5000 0.0000 0.5000  4 Cu 2.54
11 Nd 0.0000 0.0000 0.0000  8 Pd 3.08-3.15, 4 Cu 3.25

Output
As for the space group: I-42m. The theoretical density comes out at 9.2 g cm⁻³. The value obtained for the volume is 187.0 Å³/cell.

---

6.
This record from Alexandria via LeMat-Bulk describes a geometry-optimized Nd3Cu4Pd4 structure. The functional is PBE-GGA.

a = 4.1901 Å, b = 7.0712 Å, c = 8.2750 Å
α = 115.29°, β = 104.67°, γ = 90.00°
Closest atoms and distances in Å follow each position.
Element x y z (fractional)
1 Pd 0.3335 0.1355 0.6669  4 Cu 2.56-2.75, 1 Pd 2.80
2 Pd 0.6665 0.4686 0.3331  4 Cu 2.56-2.75, 1 Pd 2.80
3 Pd 0.3335 0.5314 0.6669  4 Cu 2.56-2.75, 1 Pd 2.80
4 Pd 0.6665 0.8645 0.3331  4 Cu 2.56-2.75, 1 Pd 2.80
5 Cu 0.5000 0.8266 0.0000  1 Cu 2.45, 2 Pd 2.56
6 Cu 0.2125 0.7125 0.4250  6 Pd 2.60-2.75
7 Cu 0.7875 0.2875 0.5750  6 Pd 2.60-2.75
8 Cu 0.5000 0.1734 0.0000  1 Cu 2.45, 2 Pd 2.56
9 Nd 0.1403 0.1403 0.2807  6 Cu 2.98-3.16, 6 Pd 3.02-3.11
10 Nd 0.0000 0.5000 0.0000  6 Cu 3.05-3.12
11 Nd 0.8597 0.8597 0.7193  6 Cu 2.98-3.16, 6 Pd 3.02-3.11

Output
As for the space group: Immm. The theoretical density comes out at 8.7 g cm⁻³. The value obtained for the volume is 212.8 Å³/cell.

---

7.
This record from Alexandria via LeMat-Bulk describes a geometry-optimized NdCu5Pd7 structure. The functional is PBE-GGA.

a = 5.0460 Å, b = 6.7666 Å, c = 6.7666 Å
α = 81.25°, β = 68.11°, γ = 68.11°
Closest atoms and distances in Å follow each position.
Element x y z (fractional)
1 Pd 0.9976 0.6568 0.3480  5 Cu 2.67-2.74, 4 Pd 2.72-2.82
2 Pd 0.5033 0.2050 0.7884  5 Cu 2.56-2.75, 3 Pd 2.75-2.80
3 Pd 0.5033 0.7884 0.2050  5 Cu 2.56-2.75, 3 Pd 2.75-2.80
4 Pd 0.9976 0.3480 0.6568  5 Cu 2.67-2.74, 4 Pd 2.72-2.82
5 Pd 0.3458 0.6542 0.6542  6 Cu 2.65-2.72, 3 Pd 2.72-2.93
6 Pd 0.2743 0.2257 0.2257  4 Cu 2.58, 6 Pd 2.75-2.82
7 Pd 0.6498 0.3502 0.3502  4 Cu 2.72, 5 Pd 2.72-2.89
8 Cu 0.5007 0.5035 0.9964  3 Cu 2.52-2.53, 7 Pd 2.56-2.73
9 Cu 0.5007 0.9964 0.5035  3 Cu 2.52-2.53, 7 Pd 2.56-2.73
10 Cu 0.9994 0.5035 0.9964  3 Cu 2.52-2.53, 7 Pd 2.56-2.73
11 Cu 0.9994 0.9964 0.5035  3 Cu 2.52-2.53, 7 Pd 2.56-2.73
12 Cu 0.7316 0.7684 0.7684  4 Cu 2.52, 6 Pd 2.72-2.75
13 Nd 0.9965 0.0035 0.0035  10 Pd 3.05-3.21, 10 Cu 3.28-3.39

Output
As for the space group: Imm2. The theoretical density comes out at 10.1 g cm⁻³. The value obtained for the volume is 198.9 Å³/cell.

---

8.
This record from Alexandria via LeMat-Bulk describes a geometry-optimized NdCuPd2 structure. The functional is PBE-GGA.

a = 4.3933 Å, b = 4.3933 Å, c = 5.3553 Å
α = 65.78°, β = 65.78°, γ = 60.00°
Closest atoms and distances in Å follow each position.
Element x y z (fractional)
1 Nd 0.0000 0.0000 0.0000  8 Pd 2.99-3.07
2 Pd 0.7888 0.7888 0.6336  3 Cu 2.61, 3 Pd 2.83
3 Pd 0.2112 0.2112 0.3664  3 Cu 2.61, 3 Pd 2.83
4 Cu 0.5000 0.5000 0.5000  6 Pd 2.61

Output
As for the space group: R-3m. The theoretical density comes out at 8.9 g cm⁻³. The value obtained for the volume is 78.8 Å³/cell.

---

Energy relative to the elements in eV/atom, matching the order above: -0.1462, -0.2651, -0.6218, -0.3962, -0.1159, -0.4724, -0.3207, -0.5459
Total magnetization in Bohr magnetons per cell, matching the order above: 0.0, 0.0, 0.0, 0.0, 0.0, 0.0, 0.0, 0.0
Uncorrected energy in eV per atom, matching the order above: -4.481, -4.666, -5.425, -4.970, -4.871, -5.151, -5.059, -5.358